[1]
! Ti4CrC5, relaxed, DFT PBE-GGA; values from VASP
&SYSTEM
  ibrav = 0, nat = 10, ntyp = 3
/
ATOMIC_SPECIES
C 12.01 C.upf
Ti 47.87 Ti.upf
Cr 52.00 Cr.upf
CELL_PARAMETERS angstrom
12.495 0.002 0.001
12.128 3.007 0.001
12.128 1.482 2.616
ATOMIC_POSITIONS crystal
C 0.500 0.500 0.500
C 0.098 0.098 0.098
C 0.697 0.697 0.697
C 0.303 0.303 0.303
C 0.902 0.902 0.902
Ti 0.602 0.602 0.602
Ti 0.398 0.398 0.398
Ti 0.200 0.200 0.200
Ti 0.800 0.800 0.800
Cr 0.000 0.000 0.000
! * energy of formation from the pure elements: -0.61 eV/atom
! * magnetic moment: 0.4 μB per cell

[2]
! TiCrC, relaxed, DFT PBE-GGA; values from VASP
&SYSTEM
  ibrav = 0, nat = 3, ntyp = 3
/
ATOMIC_SPECIES
Cr 52.00 Cr.upf
Ti 47.87 Ti.upf
C 12.01 C.upf
CELL_PARAMETERS angstrom
-4.562 0.355 -0.358
-0.320 -2.226 1.866
0.135 2.741 1.004
ATOMIC_POSITIONS crystal
Cr 0.244 0.333 0.667
Ti 0.740 0.667 0.333
C 0.016 0.000 0.000
! * energy of formation from the pure elements: -0.35 eV/atom
! * magnetic moment: 0.5 μB per cell

[3]
! TiCrC3, relaxed, DFT PBE-GGA; values from VASP
&SYSTEM
  ibrav = 0, nat = 5, ntyp = 3
/
ATOMIC_SPECIES
C 12.01 C.upf
Cr 52.00 Cr.upf
Ti 47.87 Ti.upf
CELL_PARAMETERS angstrom
-3.139 -2.313 -0.529
2.019 -3.065 1.420
-1.247 0.861 3.632
ATOMIC_POSITIONS crystal
C 0.000 0.500 0.000
C 0.000 0.000 0.500
C 0.500 0.000 0.000
Cr 0.500 0.500 0.500
Ti 0.000 0.000 0.000
! * energy of formation from the pure elements: 2.21 eV/atom
! * magnetic moment: 0.6 μB per cell

[4]
! TiCrC2, relaxed, DFT PBE-GGA; values from VASP
&SYSTEM
  ibrav = 0, nat = 8, ntyp = 3
/
ATOMIC_SPECIES
C 12.01 C.upf
Cr 52.00 Cr.upf
Ti 47.87 Ti.upf
CELL_PARAMETERS angstrom
4.546 0.000 0.000
0.000 4.546 0.000
2.273 2.273 4.603
ATOMIC_POSITIONS crystal
C 0.875 0.905 0.750
C 0.655 0.125 0.250
C 0.095 0.625 0.250
C 0.375 0.345 0.750
Cr 0.750 0.250 0.500
Cr 0.000 0.000 0.000
Ti 0.500 0.500 0.000
Ti 0.250 0.750 0.500
! * energy of formation from the pure elements: 0.19 eV/atom
! * magnetic moment: 2.3 μB per cell

[5]
! UTiCrC3, relaxed, DFT PBE-GGA; values from VASP
&SYSTEM
  ibrav = 0, nat = 12, ntyp = 4
/
ATOMIC_SPECIES
C 12.01 C.upf
Ti 47.87 Ti.upf
Cr 52.00 Cr.upf
U 238.03 U.upf
CELL_PARAMETERS angstrom
-1.015 1.735 -2.350
-0.838 -5.528 -3.720
-6.581 0.683 3.346
ATOMIC_POSITIONS crystal
C 0.750 0.433 0.160
C 0.250 0.567 0.840
C 0.250 0.120 0.866
C 0.750 0.880 0.134
C 0.750 0.187 0.467
C 0.250 0.813 0.533
Ti 0.250 0.647 0.132
Ti 0.750 0.353 0.868
Cr 0.250 0.119 0.600
Cr 0.750 0.881 0.400
U 0.750 0.822 0.802
U 0.250 0.178 0.198
! * energy of formation from the pure elements: -0.12 eV/atom
! * magnetic moment: 0.0 μB per cell

[6]
! U2TiCr2C4, relaxed, DFT PBE-GGA; values from VASP
&SYSTEM
  ibrav = 0, nat = 9, ntyp = 4
/
ATOMIC_SPECIES
U 238.03 U.upf
Cr 52.00 Cr.upf
Ti 47.87 Ti.upf
C 12.01 C.upf
CELL_PARAMETERS angstrom
3.041 0.000 0.000
-1.521 6.394 0.472
0.000 -1.736 5.389
ATOMIC_POSITIONS crystal
U 0.876 0.752 0.466
U 0.124 0.248 0.534
Cr 0.677 0.354 0.022
Cr 0.323 0.646 0.978
Ti 0.000 0.000 0.000
C 0.237 0.475 0.238
C 0.763 0.525 0.762
C 0.536 0.072 0.758
C 0.464 0.928 0.242
! * energy of formation from the pure elements: -0.19 eV/atom
! * magnetic moment: 2.0 μB per cell

[7]
! YTiCr2C, relaxed, DFT PBE-GGA; values from VASP
&SYSTEM
  ibrav = 0, nat = 5, ntyp = 4
/
ATOMIC_SPECIES
C 12.01 C.upf
Cr 52.00 Cr.upf
Ti 47.87 Ti.upf
Y 88.91 Y.upf
CELL_PARAMETERS angstrom
-3.554 2.220 -0.762
-0.087 -1.507 -3.983
-3.095 -4.365 1.719
ATOMIC_POSITIONS crystal
C 0.500 0.500 0.500
Cr 0.000 0.500 0.000
Cr 0.500 0.000 0.000
Ti 0.000 0.000 0.000
Y 0.000 0.000 0.500
! * energy of formation from the pure elements: 2.03 eV/atom
! * magnetic moment: 4.0 μB per cell

[8]
! TlCrC2, relaxed, DFT PBE-GGA; values from VASP
&SYSTEM
  ibrav = 0, nat = 8, ntyp = 3
/
ATOMIC_SPECIES
C 12.01 C.upf
Tl 204.38 Tl.upf
Cr 52.00 Cr.upf
CELL_PARAMETERS angstrom
-0.925 3.242 3.710
-4.507 -2.081 0.694
-0.869 -2.399 5.266
ATOMIC_POSITIONS crystal
C 0.531 0.125 0.250
C 0.875 0.781 0.750
C 0.219 0.625 0.250
C 0.375 0.469 0.750
Tl 0.000 0.000 0.000
Tl 0.750 0.250 0.500
Cr 0.250 0.750 0.500
Cr 0.500 0.500 0.000
! * energy of formation from the pure elements: 1.09 eV/atom
! * magnetic moment: 1.8 μB per cell